Entry 1:
VASP calculation (PBE) on an optimized crystal structure of Er4FeSb.

Unit cell a=7.826 b=7.826 c=5.959 alpha=101.96 beta=101.96 gamma=112.69
Positions (direct):
Er1 0.057 0.728 0.940
Er2 0.206 0.350 0.641
Er3 0.272 0.943 0.560
Er4 0.350 0.206 0.141
Er5 0.650 0.794 0.859
Er6 0.728 0.057 0.440
Er7 0.794 0.650 0.359
Er8 0.943 0.272 0.060
Fe1 0.000 0.000 0.250
Fe2 0.000 0.000 0.750
Sb1 0.373 0.627 0.250
Sb2 0.627 0.373 0.750

Properties
- crystal system = monoclinic
- M_tot (μB/f.u.) = 0.0
- formation energy from raw total energies (eV/atom) = -0.409


Entry 2:
VASP calculation (PBE) on an optimized crystal structure of AgW2Br.

Unit cell a=9.290 b=9.290 c=9.290 alpha=18.23 beta=18.23 gamma=18.23
Positions (direct):
Ag1 0.000 0.000 0.000
W1 0.247 0.247 0.247
W2 0.753 0.753 0.753
Br1 0.500 0.500 0.500

Properties
- crystal system = trigonal
- M_tot (μB/f.u.) = 0.0
- formation energy from raw total energies (eV/atom) = 0.990
- E above lowest polymorph (meV/atom) = 493


Entry 3:
VASP calculation (PBE) on an optimized crystal structure of Sm6YHo4.

Unit cell a=5.637 b=5.637 c=25.684 alpha=90.00 beta=90.00 gamma=117.84
Positions (direct):
Sm1 0.000 0.000 0.000
Sm2 0.000 0.000 0.500
Sm3 0.051 0.949 0.750
Sm4 0.298 0.702 0.102
Sm5 0.298 0.702 0.398
Sm6 0.378 0.622 0.682
Sm7 0.378 0.622 0.818
Sm8 0.622 0.378 0.182
Sm9 0.622 0.378 0.318
Sm10 0.702 0.298 0.602
Sm11 0.702 0.298 0.898
Sm12 0.949 0.051 0.250
Y1 0.287 0.713 0.250
Y2 0.713 0.287 0.750
Ho1 0.044 0.956 0.623
Ho2 0.044 0.956 0.877
Ho3 0.351 0.649 0.544
Ho4 0.351 0.649 0.956
Ho5 0.649 0.351 0.044
Ho6 0.649 0.351 0.456
Ho7 0.956 0.044 0.123
Ho8 0.956 0.044 0.377

Properties
- crystal system = orthorhombic
- M_tot (μB/f.u.) = 0.0
- E above lowest polymorph (meV/atom) = 0
- E_form (eV/atom) = 0.119


Entry 4:
VASP calculation (PBE) on an optimized crystal structure of AlCdAs2Pd.

Unit cell a=5.109 b=5.109 c=4.965 alpha=90.00 beta=90.00 gamma=90.00
Positions (direct):
Al1 0.000 0.000 0.000
Cd1 0.000 0.000 0.500
As1 0.000 0.500 0.500
As2 0.500 0.000 0.500
Pd1 0.500 0.500 0.000

Properties
- crystal system = tetragonal
- M_tot (μB/f.u.) = 0.0
- E_form (eV/atom) = 1.026